No. 1
Density functional theory data (PBE-GGA) for crystalline Mn3CdRe at its relaxed geometry.

Summary:
The space group is Pm-3m (221). The energy above the most stable polymorph in this dataset comes out at 0 meV/atom. The total energy comes out at -7.0009 eV per atom.

Cell: 4.653 4.653 4.653 Å, 90.00 90.00 90.00°
Positions (direct):
1 Mn 0.000 0.000 0.500
2 Mn 0.000 0.500 0.000
3 Mn 0.500 0.000 0.000
4 Cd 0.500 0.500 0.500
5 Re 0.000 0.000 0.000


No. 2
Density functional theory data (PBE-GGA) for crystalline Mn2CdRe at its relaxed geometry.

Summary:
The space group is I4/mmm (139). The total energy comes out at -7.4776 eV per atom.

Cell: 4.564 4.564 4.564 Å, 127.28 127.28 77.79°
Positions (direct):
1 Mn 0.250 0.750 0.500
2 Mn 0.750 0.250 0.500
3 Cd 0.000 0.000 0.000
4 Re 0.500 0.500 0.000


No. 3
Density functional theory data (PBE-GGA) for crystalline Mn2CdRe at its relaxed geometry.

Summary:
The space group is R3m (160). The total energy comes out at -7.5716 eV per atom.

Cell: 9.077 9.077 9.077 Å, 17.69 17.69 17.69°
Positions (direct):
1 Mn 0.000 0.000 0.000
2 Mn 0.259 0.259 0.259
3 Cd 0.758 0.758 0.758
4 Re 0.521 0.521 0.521


No. 4
Density functional theory data (PBE-GGA) for crystalline MnCdRe2 at its relaxed geometry.

Summary:
The space group is Pmm2 (25). The total energy comes out at -8.3803 eV per atom.

Cell: 2.819 3.918 5.754 Å, 90.00 90.00 90.00°
Positions (direct):
1 Mn 0.000 0.000 0.000
2 Cd 0.500 0.500 0.741
3 Re 0.000 0.000 0.441
4 Re 0.500 0.500 0.241


No. 5
Density functional theory data (PBE-GGA) for crystalline Mn2CdRe at its relaxed geometry.

Summary:
The space group is Cmm2 (35). The total energy comes out at -7.5286 eV per atom.

Cell: 2.695 2.695 8.510 Å, 90.00 90.00 105.97°
Positions (direct):
1 Mn 0.000 0.000 0.000
2 Mn 0.500 0.500 0.211
3 Cd 0.000 0.000 0.486
4 Re 0.500 0.500 0.779


No. 6
Density functional theory data (PBE-GGA) for crystalline Mn2CdRe at its relaxed geometry.

Summary:
The space group is P4/mmm (123). The total energy comes out at -7.6950 eV per atom.

Cell: 2.916 2.916 7.132 Å, 90.00 90.00 90.00°
Positions (direct):
1 Mn 0.000 0.000 0.219
2 Mn 0.000 0.000 0.781
3 Cd 0.500 0.500 0.500
4 Re 0.500 0.500 0.000


Repeat the sixth record exactly.
Density functional theory data (PBE-GGA) for crystalline Mn2CdRe at its relaxed geometry.

Summary:
The space group is P4/mmm (123). The total energy comes out at -7.6950 eV per atom.

Cell: 2.916 2.916 7.132 Å, 90.00 90.00 90.00°
Positions (direct):
1 Mn 0.000 0.000 0.219
2 Mn 0.000 0.000 0.781
3 Cd 0.500 0.500 0.500
4 Re 0.500 0.500 0.000